The following is a DFT calculation (GGA-PBE) of a relaxed structure of TaBrF3.

Output
ΔE to the lowest computed polymorph (meV/atom): 2446
Calculated density (Mg/m³): 5.55
Raw formation energy (meV/atom): 534

a = 4.564 Å, b = 4.564 Å, c = 4.564 Å
α = 90.00°, β = 90.00°, γ = 90.00°
Site moments in Bohr magnetons follow the coordinates.
Positions (direct):
F: 0.000 0.500 0.000  0.00
Ta: 0.500 0.500 0.500  2.29
F: 0.500 0.000 0.000  0.00
Br: 0.000 0.000 0.000  -0.08
F: 0.000 0.000 0.500  0.01